[1]
{"formula": "Zn3In", "functional": "meta-GGA SCAN", "state": "PBEsol geometry", "lattice_angstrom": [[4.084, 0.000, 0.000], [0.000, 4.084, 0.000], [0.000, 0.000, 8.050]], "species": ["Zn", "Zn", "Zn", "Zn", "Zn", "Zn", "In", "In"], "fractional_positions": [[0.000, 0.000, 0.000], [0.000, 0.500, 0.250], [0.000, 0.500, 0.750], [0.500, 0.000, 0.250], [0.500, 0.000, 0.750], [0.500, 0.500, 0.500], [0.000, 0.000, 0.500], [0.500, 0.500, 0.000]], "energy_ev_per_atom": -18.346, "sg": "I4/mmm (139)", "volume_a3_per_atom": 16.79, "delta_e_f_ev_per_atom": 0.137}

[2]
{"formula": "Ge3BW", "functional": "meta-GGA SCAN", "state": "PBEsol geometry", "lattice_angstrom": [[4.826, 0.000, 0.000], [0.000, 4.826, 0.000], [0.000, 0.000, 4.826]], "species": ["Ge", "Ge", "Ge", "B", "W"], "fractional_positions": [[0.000, 0.000, 0.500], [0.000, 0.500, 0.000], [0.500, 0.000, 0.000], [0.500, 0.500, 0.500], [0.000, 0.000, 0.000]], "energy_ev_per_atom": -25.474, "sg": "Pm-3m (221)", "volume_a3_per_atom": 22.48, "delta_e_f_ev_per_atom": 1.402}

[3]
{"formula": "BaSr2", "functional": "meta-GGA SCAN", "state": "PBEsol geometry", "lattice_angstrom": [[8.470, 0.000, 0.000], [0.000, 6.077, 0.000], [0.000, 0.000, 12.694]], "species": ["Ba", "Ba", "Ba", "Ba", "Sr", "Sr", "Sr", "Sr", "Sr", "Sr", "Sr", "Sr"], "fractional_positions": [[0.128, 0.250, 0.084], [0.372, 0.750, 0.584], [0.628, 0.250, 0.416], [0.872, 0.750, 0.916], [0.123, 0.250, 0.748], [0.125, 0.250, 0.416], [0.375, 0.750, 0.916], [0.377, 0.750, 0.248], [0.623, 0.250, 0.752], [0.625, 0.250, 0.084], [0.875, 0.750, 0.584], [0.877, 0.750, 0.252]], "energy_ev_per_atom": -28.015, "de_polymorph_mev_per_atom": 29, "sg": "Pnma (62)", "volume_a3_per_atom": 54.45, "delta_e_f_ev_per_atom": 0.019}

[4]
{"formula": "Ca2AlGa2", "functional": "meta-GGA SCAN", "state": "PBEsol geometry", "lattice_angstrom": [[6.936, 0.000, 0.000], [0.000, 6.936, 0.000], [0.000, 0.000, 4.712]], "species": ["Ca", "Ca", "Ca", "Ca", "Al", "Al", "Ga", "Ga", "Ga", "Ga"], "fractional_positions": [[0.175, 0.325, 0.000], [0.325, 0.825, 0.000], [0.675, 0.175, 0.000], [0.825, 0.675, 0.000], [0.000, 0.000, 0.500], [0.500, 0.500, 0.500], [0.130, 0.630, 0.500], [0.370, 0.130, 0.500], [0.630, 0.870, 0.500], [0.870, 0.370, 0.500]], "energy_ev_per_atom": -12.365, "de_polymorph_mev_per_atom": 0, "sg": "P4/mbm (127)", "volume_a3_per_atom": 22.67, "delta_e_f_ev_per_atom": -0.411}

[5]
{"formula": "VH6SO10", "functional": "meta-GGA SCAN", "state": "PBEsol geometry", "lattice_angstrom": [[7.366, 0.000, 0.000], [3.284, 6.809, 0.000], [0.990, 1.930, 7.568]], "species": ["V", "V", "H", "H", "H", "H", "H", "H", "H", "H", "H", "H", "H", "H", "S", "S", "O", "O", "O", "O", "O", "O", "O", "O", "O", "O", "O", "O", "O", "O", "O", "O", "O", "O", "O", "O"], "fractional_positions": [[0.116, 0.246, 0.279], [0.884, 0.754, 0.721], [0.132, 0.551, 0.268], [0.177, 0.192, 0.965], [0.220, 0.377, 0.959], [0.418, 0.852, 0.388], [0.431, 0.420, 0.404], [0.476, 0.987, 0.674], [0.524, 0.013, 0.326], [0.569, 0.580, 0.596], [0.582, 0.148, 0.612], [0.780, 0.623, 0.041], [0.823, 0.808, 0.035], [0.868, 0.449, 0.732], [0.073, 0.073, 0.705], [0.927, 0.927, 0.295], [0.021, 0.182, 0.512], [0.030, 0.233, 0.797], [0.077, 0.013, 0.231], [0.097, 0.586, 0.804], [0.228, 0.400, 0.307], [0.246, 0.237, 0.035], [0.280, 0.923, 0.727], [0.395, 0.998, 0.354], [0.456, 0.596, 0.526], [0.474, 0.559, 0.048], [0.526, 0.441, 0.952], [0.544, 0.404, 0.474], [0.605, 0.002, 0.646], [0.720, 0.077, 0.273], [0.754, 0.763, 0.965], [0.772, 0.600, 0.693], [0.903, 0.414, 0.196], [0.923, 0.987, 0.769], [0.970, 0.767, 0.203], [0.979, 0.818, 0.488]], "energy_ev_per_atom": -7.408, "sg": "P-1 (2)", "volume_a3_per_atom": 10.54}

[6]
{"formula": "CaRe2Mo", "functional": "meta-GGA SCAN", "state": "PBEsol geometry", "lattice_angstrom": [[2.824, 0.000, 0.000], [-1.412, 2.446, 0.000], [0.000, 0.000, 29.077]], "species": ["Ca", "Ca", "Ca", "Re", "Re", "Re", "Re", "Re", "Re", "Mo", "Mo", "Mo"], "fractional_positions": [[0.000, 0.000, 0.000], [0.333, 0.667, 0.667], [0.667, 0.333, 0.333], [0.000, 0.000, 0.496], [0.000, 0.000, 0.756], [0.333, 0.667, 0.163], [0.333, 0.667, 0.423], [0.667, 0.333, 0.090], [0.667, 0.333, 0.829], [0.000, 0.000, 0.239], [0.333, 0.667, 0.906], [0.667, 0.333, 0.572]], "energy_ev_per_atom": -46.039, "de_polymorph_mev_per_atom": 73, "sg": "R3m (160)", "volume_a3_per_atom": 16.74, "delta_e_f_ev_per_atom": 0.647}

[7]
{"formula": "ScI2NO", "functional": "meta-GGA SCAN", "state": "PBEsol geometry", "lattice_angstrom": [[5.001, 0.000, 0.000], [0.000, 5.001, 0.000], [0.000, 0.000, 4.151]], "species": ["Sc", "I", "I", "N", "O"], "fractional_positions": [[0.000, 0.000, 0.000], [0.000, 0.500, 0.500], [0.500, 0.000, 0.500], [0.000, 0.000, 0.500], [0.500, 0.500, 0.000]], "energy_ev_per_atom": -20.410, "raw_formation_energy_ev_per_atom": 0.2388, "de_polymorph_mev_per_atom": 0, "sg": "P4/mmm (123)", "volume_a3_per_atom": 20.76}

[8]
{"formula": "AlInOs2", "functional": "meta-GGA SCAN", "state": "PBEsol geometry", "lattice_angstrom": [[2.824, 0.000, 0.000], [0.000, 2.824, 0.000], [0.000, 0.000, 8.163]], "species": ["Al", "In", "Os", "Os"], "fractional_positions": [[0.000, 0.000, 0.000], [0.500, 0.500, 0.316], [0.000, 0.000, 0.578], [0.500, 0.500, 0.783]], "energy_ev_per_atom": -46.179, "de_polymorph_mev_per_atom": 0, "sg": "P4mm (99)", "volume_a3_per_atom": 16.27, "delta_e_f_ev_per_atom": 0.045}

[9]
{"formula": "NaHfSnTe2", "functional": "meta-GGA SCAN", "state": "PBEsol geometry", "lattice_angstrom": [[5.548, 0.000, 0.000], [0.000, 5.548, 0.000], [0.000, 0.000, 5.491]], "species": ["Na", "Hf", "Sn", "Te", "Te"], "fractional_positions": [[0.000, 0.000, 0.000], [0.500, 0.500, 0.500], [0.500, 0.500, 0.000], [0.000, 0.500, 0.500], [0.500, 0.000, 0.500]], "energy_ev_per_atom": -35.748, "raw_formation_energy_ev_per_atom": -0.2854, "sg": "P4/mmm (123)", "volume_a3_per_atom": 33.80}

[10]
{"formula": "CdAg2Hg", "functional": "meta-GGA SCAN", "state": "PBEsol geometry", "lattice_angstrom": [[6.650, 0.000, 0.000], [0.000, 6.650, 0.000], [0.000, 0.000, 6.650]], "species": ["Cd", "Cd", "Cd", "Cd", "Ag", "Ag", "Ag", "Ag", "Ag", "Ag", "Ag", "Ag", "Hg", "Hg", "Hg", "Hg"], "fractional_positions": [[0.000, 0.000, 0.000], [0.000, 0.500, 0.500], [0.500, 0.000, 0.500], [0.500, 0.500, 0.000], [0.000, 0.000, 0.500], [0.000, 0.500, 0.000], [0.250, 0.250, 0.750], [0.250, 0.750, 0.250], [0.500, 0.000, 0.000], [0.500, 0.500, 0.500], [0.750, 0.250, 0.250], [0.750, 0.750, 0.750], [0.250, 0.250, 0.250], [0.250, 0.750, 0.750], [0.750, 0.250, 0.750], [0.750, 0.750, 0.250]], "energy_ev_per_atom": -40.318, "de_polymorph_mev_per_atom": 22, "sg": "F-43m (216)", "volume_a3_per_atom": 18.38, "delta_e_f_ev_per_atom": 0.011}

[11]
{"formula": "In2ReHg", "functional": "meta-GGA SCAN", "state": "PBEsol geometry", "lattice_angstrom": [[2.984, 0.000, 0.000], [0.000, 5.032, 0.000], [0.000, 0.000, 10.890]], "species": ["In", "In", "In", "In", "Re", "Re", "Hg", "Hg"], "fractional_positions": [[0.000, 0.000, 0.000], [0.000, 0.500, 0.290], [0.500, 0.000, 0.290], [0.500, 0.500, 0.000], [0.000, 0.500, 0.779], [0.500, 0.000, 0.779], [0.000, 0.000, 0.553], [0.500, 0.500, 0.553]], "energy_ev_per_atom": -50.859, "sg": "Cmm2 (35)", "volume_a3_per_atom": 20.44, "delta_e_f_ev_per_atom": 0.650}

[12]
{"formula": "Mg2Tl3", "functional": "meta-GGA SCAN", "state": "PBEsol geometry", "lattice_angstrom": [[4.958, 0.000, 0.000], [-2.479, 4.294, 0.000], [0.000, 0.000, 6.154]], "species": ["Mg", "Mg", "Tl", "Tl", "Tl"], "fractional_positions": [[0.333, 0.667, 0.355], [0.667, 0.333, 0.645], [0.000, 0.000, 0.500], [0.333, 0.667, 0.867], [0.667, 0.333, 0.133]], "energy_ev_per_atom": -45.467, "de_polymorph_mev_per_atom": 5, "sg": "P-3m1 (164)", "volume_a3_per_atom": 26.21, "delta_e_f_ev_per_atom": -0.062}